Entry 1:
{
  "formula": "Dy2Ho2Th",
  "functional": "PBE-GGA",
  "state": "optimized geometry",
  "n_ef_per_ev_cell": 14.1,
  "delta_e_f_mev_per_atom": 87,
  "lattice": [[-5.9589, -0.8953, -0.5430], [0.0585, -3.8085, 5.6367], [1.7079, 2.0023, 11.6617]],
  "species": ["Dy", "Dy", "Dy", "Dy", "Ho", "Ho", "Ho", "Ho", "Th", "Th"],
  "frac_coords": [[0.2431, 0.0296, 0.3897], [0.8534, 0.4704, 0.6103], [0.7569, 0.9704, 0.6103], [0.1466, 0.5296, 0.3897], [0.4812, 0.3431, 0.8093], [0.3281, 0.8431, 0.8093], [0.5188, 0.6569, 0.1907], [0.6719, 0.1569, 0.1907], [0.9293, 0.7500, 0.0000], [0.0707, 0.2500, 0.0000]]
}



Entry 2:
{
  "formula": "Sc3Ag3SnSe8",
  "functional": "PBE-GGA",
  "state": "optimized geometry",
  "n_ef_per_ev_cell": 2.2,
  "lattice": [[7.8505, 0.0000, 0.0000], [-3.9253, 6.7975, -0.0338], [0.0000, -4.5178, 6.6878]],
  "species": ["Sc", "Sc", "Sc", "Ag", "Ag", "Ag", "Sn", "Se", "Se", "Se", "Se", "Se", "Se", "Se", "Se"],
  "frac_coords": [[0.5000, 0.0000, 0.5000], [0.5000, 0.5000, 0.5000], [0.0000, 0.5000, 0.5000], [0.0000, 0.0000, 0.0000], [0.0000, 0.5000, 0.0000], [0.5000, 0.5000, 0.0000], [0.0000, 0.0000, 0.5000], [0.2576, 0.5151, 0.2737], [0.7424, 0.4849, 0.7263], [0.7547, 0.5094, 0.2659], [0.2453, 0.4906, 0.7341], [0.7546, 0.0100, 0.2658], [0.2454, 0.9900, 0.7342], [0.2554, 0.0100, 0.2658], [0.7446, 0.9900, 0.7342]]
}



Entry 3:
{
  "formula": "Cs3YPb",
  "functional": "PBE-GGA",
  "state": "optimized geometry",
  "n_ef_per_ev_cell": 8.3,
  "delta_e_f_mev_per_atom": 964,
  "lattice": [[7.0390, 0.0000, 0.0000], [0.0000, 7.0390, 0.0000], [0.0000, 0.0000, 7.0390]],
  "species": ["Pb", "Cs", "Cs", "Cs", "Y"],
  "frac_coords": [[0.5000, 0.5000, 0.5000], [0.0000, 0.5000, 0.0000], [0.0000, 0.0000, 0.5000], [0.5000, 0.0000, 0.0000], [0.0000, 0.0000, 0.0000]]
}



Entry 4:
{
  "formula": "TaMn2Ni",
  "functional": "PBE-GGA",
  "state": "optimized geometry",
  "n_ef_per_ev_cell": 4.2,
  "delta_e_f_mev_per_atom": -21,
  "lattice": [[3.3576, 0.0000, 0.0000], [0.0000, 2.8184, 0.0357], [0.0000, 2.7488, 5.6420]],
  "species": ["Mn", "Mn", "Ni", "Ta"],
  "frac_coords": [[0.0000, 0.9735, 0.0263], [0.5000, 0.2555, 0.2445], [0.0000, 0.5160, 0.4843], [0.5000, 0.7550, 0.7450]]
}



Entry 5:
{
  "formula": "MgZnCu3",
  "functional": "PBE-GGA",
  "state": "optimized geometry",
  "n_ef_per_ev_cell": 2.9,
  "delta_e_f_mev_per_atom": -14,
  "lattice": [[2.5636, -6.0517, 0.0000], [2.5636, 6.0517, 0.0000], [0.0000, 0.0000, 4.7739]],
  "species": ["Mg", "Mg", "Zn", "Zn", "Cu", "Cu", "Cu", "Cu", "Cu", "Cu"],
  "frac_coords": [[0.6093, 0.3907, 0.2500], [0.3907, 0.6093, 0.7500], [0.0000, 0.0000, 0.0000], [0.0000, 0.0000, 0.5000], [0.1790, 0.8210, 0.2500], [0.8210, 0.1790, 0.7500], [0.0893, 0.4009, 0.2500], [0.9107, 0.5991, 0.7500], [0.5991, 0.9107, 0.2500], [0.4009, 0.0893, 0.7500]]
}



Entry 6:
{
  "formula": "ZrPb2Se",
  "functional": "PBE-GGA",
  "state": "optimized geometry",
  "n_ef_per_ev_cell": 2.6,
  "lattice": [[-2.2305, 3.8082, 4.3314], [3.9226, -4.5324, 1.5196], [2.9875, 1.7027, 1.4868]],
  "species": ["Pb", "Pb", "Se", "Zr"],
  "frac_coords": [[0.0000, 0.0000, 0.0000], [0.5000, 0.5000, 0.0000], [0.5000, 0.0000, 0.5000], [0.0000, 0.5000, 0.5000]]
}



Entry 7:
{
  "formula": "NiGeB",
  "functional": "PBE-GGA",
  "state": "optimized geometry",
  "n_ef_per_ev_cell": 2.1,
  "delta_e_f_mev_per_atom": 27,
  "lattice": [[3.0854, 0.0000, 0.0000], [-1.5427, 2.6720, 0.0000], [0.0000, 0.0000, 8.6281]],
  "species": ["Ni", "Ni", "Ge", "Ge", "B", "B"],
  "frac_coords": [[0.0000, 0.0000, 0.8491], [0.0000, 0.0000, 0.1509], [0.3333, 0.6667, 0.3587], [0.6667, 0.3333, 0.6413], [0.3333, 0.6667, 0.0006], [0.6667, 0.3333, 0.9994]]
}



Entry 8:
{
  "formula": "PuNp",
  "functional": "PBE-GGA",
  "state": "optimized geometry",
  "delta_e_f_mev_per_atom": 261,
  "lattice": [[3.6668, 0.0000, 0.0000], [0.0000, 4.7136, -0.0154], [0.0000, -0.7794, 4.4150]],
  "species": ["Np", "Np", "Pu", "Pu"],
  "frac_coords": [[0.2500, 0.0038, 0.8236], [0.7500, 0.9962, 0.1764], [0.2500, 0.5135, 0.3389], [0.7500, 0.4865, 0.6611]]
}



Entry 9:
{
  "formula": "DyY2In3",
  "functional": "PBE-GGA",
  "state": "optimized geometry",
  "n_ef_per_ev_cell": 9.3,
  "delta_e_f_mev_per_atom": -327,
  "lattice": [[-2.8627, 0.0946, -2.1717], [-3.9655, -0.6198, 5.2002], [0.9056, 14.4133, 2.4085]],
  "species": ["Dy", "Dy", "Y", "Y", "Y", "Y", "In", "In", "In", "In", "In", "In"],
  "frac_coords": [[0.3299, 0.7500, 0.6599], [0.6701, 0.2500, 0.3401], [0.1501, 0.7500, 0.3001], [0.8499, 0.2500, 0.6999], [0.9962, 0.7500, 0.9924], [0.0038, 0.2500, 0.0076], [0.4237, 0.4947, 0.8473], [0.5763, 0.5053, 0.1527], [0.4237, 0.0053, 0.8473], [0.5763, 0.9947, 0.1527], [0.7412, 0.7500, 0.4824], [0.2588, 0.2500, 0.5176]]
}



Entry 10:
{
  "formula": "DyUTe6",
  "functional": "PBE-GGA",
  "state": "optimized geometry",
  "n_ef_per_ev_cell": 9.7,
  "lattice": [[13.4121, -0.0885, 0.0000], [-12.6727, 4.3926, 0.0000], [0.0000, 0.0000, 4.3774]],
  "species": ["Dy", "U", "Te", "Te", "Te", "Te", "Te", "Te"],
  "frac_coords": [[0.8283, 0.1717, 0.0000], [0.1703, 0.8297, 0.5000], [0.5809, 0.4191, 0.5000], [0.4209, 0.5791, 0.0000], [0.2919, 0.7081, 0.5000], [0.7059, 0.2941, 0.0000], [0.9210, 0.0790, 0.5000], [0.0809, 0.9191, 0.0000]]
}



Entry 11:
{
  "formula": "YW5",
  "functional": "PBE-GGA",
  "state": "optimized geometry",
  "n_ef_per_ev_cell": 4.2,
  "delta_e_f_mev_per_atom": 345,
  "lattice": [[1.6069, -6.9332, 0.0000], [1.6069, 6.9332, 0.0000], [0.0000, 0.0000, 4.7159]],
  "species": ["Y", "W", "W", "W", "W", "W"],
  "frac_coords": [[0.5000, 0.5000, 0.5000], [0.6670, 0.3330, 0.0000], [0.3330, 0.6670, 0.0000], [0.0000, 0.0000, 0.0000], [0.1766, 0.8234, 0.5000], [0.8234, 0.1766, 0.5000]]
}



Entry 12:
{
  "formula": "Ba3PmEr3Te8",
  "functional": "PBE-GGA",
  "state": "optimized geometry",
  "n_ef_per_ev_cell": 4.3,
  "lattice": [[-4.6069, 2.1586, -7.4043], [-4.3671, -1.8640, 7.6220], [4.7459, 8.2007, -0.5614]],
  "species": ["Ba", "Ba", "Ba", "Pm", "Er", "Er", "Er", "Te", "Te", "Te", "Te", "Te", "Te", "Te", "Te"],
  "frac_coords": [[0.0000, 0.0000, 0.0000], [0.0000, 0.5000, 0.0000], [0.5000, 0.5000, 0.0000], [0.0000, 0.0000, 0.5000], [0.5000, 0.0000, 0.5000], [0.5000, 0.5000, 0.5000], [0.0000, 0.5000, 0.5000], [0.2622, 0.5244, 0.2866], [0.7378, 0.4756, 0.7134], [0.7541, 0.5082, 0.2815], [0.2459, 0.4918, 0.7185], [0.7541, 0.0274, 0.2814], [0.2459, 0.9726, 0.7186], [0.2733, 0.0274, 0.2814], [0.7267, 0.9726, 0.7186]]
}



Which calculated total energy belongs to each record? In order, -5.069 -4.864 -1.583 -9.015 -3.046 -4.939 -5.665 -13.376 -4.618 -5.067 -11.527 -4.810 eV/atom.